Entry 1:
First-principles (PBE) data for an optimized crystal structure of BaScTe4, as listed in Alexandria via LeMat-Bulk.

Output
SG = F-43m
Crystal system = cubic
Energy = -21.42 eV for the cell shown
Formation energy (no corrections) = -0.10 eV per atom

Cell and atoms, written as POSCAR:
```
BaScTe4
1.0
0.000 4.636 4.636
4.636 0.000 4.636
4.636 4.636 0.000
Ba Sc Te
1 1 4
Direct
0.750 0.750 0.750
0.000 0.000 0.000
0.878 0.374 0.374
0.374 0.374 0.878
0.374 0.878 0.374
0.374 0.374 0.374
```

Entry 2:
First-principles (PBE) data for an optimized crystal structure of Ba2ScTe, as listed in Alexandria via LeMat-Bulk.

Output
SG = F-43m
Crystal system = cubic
Energy = -13.70 eV for the cell shown
Formation energy (no corrections) = -0.09 eV per atom

Cell and atoms, written as POSCAR:
```
Ba2ScTe
1.0
5.887 0.000 0.000
2.944 5.099 0.000
2.944 1.700 4.807
Ba Sc Te
2 1 1
Direct
0.000 0.000 0.000
0.250 0.250 0.250
0.500 0.500 0.500
0.750 0.750 0.750
```